Computed, not measured: a relaxed structure of Pu3Ge3Ru2 at the PBE level of DFT.

Properties
* crystal system: orthorhombic
* distance to the lowest polymorph of the same formula: 0 meV per atom
* E_form: -335 kJ/mol of formula units

```
Pu3Ge3Ru2
1.0
4.2751 0.0000 0.0000
-2.1376 5.2138 0.0000
0.0000 0.0000 14.3705
Pu Ge Ru
6 6 4
Cartesian
2.1376 4.5676 5.6553
0.0000 0.6462 12.8405
2.1376 4.5676 1.5300
0.0000 0.6462 8.7153
2.1376 1.7675 3.5926
0.0000 3.4463 10.7779
2.1376 1.5180 6.7156
0.0000 3.6958 13.9009
2.1376 1.5180 0.4696
0.0000 3.6958 7.6549
0.0000 3.9665 3.5926
2.1376 1.2473 10.7779
2.1376 3.0218 12.6764
0.0000 2.1920 5.4911
2.1376 3.0218 8.8794
0.0000 2.1920 1.6942
```